# 1
Here is a relaxed CeCd4Bi crystal from the Alexandria database. Energies are from PBE-GGA.

```
CeCd4Bi
1.0
6.0391 0.0000 0.0000
3.0195 5.2300 0.0000
3.0195 1.7433 4.9309
Cd Bi Ce
4 1 1
Direct
0.1250 0.6250 0.6250
0.6250 0.6250 0.6250
0.6250 0.6250 0.1250
0.6250 0.1250 0.6250
0.0000 0.0000 0.0000
0.2500 0.2500 0.2500
```

Energy: -2.33 eV/atom
D(E_F): 9.14 states/eV per cell
Formation energy from the elements: -0.085 eV/atom



# 2
Here is a relaxed PaCo2As crystal from the Alexandria database. Energies are from PBE-GGA.

```
PaCo2As
1.0
-0.1723 -1.8971 2.9655
1.4816 -3.6684 -2.2607
3.4322 2.4302 1.7541
As Co Pa
1 2 1
Direct
0.5000 0.5000 0.5000
0.5000 0.0000 0.5000
0.5000 0.5000 0.0000
0.0000 0.0000 0.0000
```

Polymorph energy (0 for the lowest one): 0.95 eV/f.u.
Energy: -7.38 eV/atom
D(E_F): 3.98 states/eV per cell
Formation energy from the elements: -0.292 eV/atom



# 3
Here is a relaxed AlV2Ni6 crystal from the Alexandria database. Energies are from PBE-GGA.

```
AlV2Ni6
1.0
-0.8875 -1.5554 -1.7179
1.3114 -5.4338 4.2425
-6.2117 3.2520 0.2815
Ni Al V
6 1 2
Direct
0.5000 0.6661 0.0000
0.5123 0.0000 0.6660
0.5123 0.6660 0.6660
0.4877 0.0000 0.3340
0.5000 0.3339 0.0000
0.4877 0.3340 0.3340
0.0000 0.0000 0.0000
0.0000 0.6666 0.3332
0.0000 0.3334 0.6668
```

Polymorph energy (0 for the lowest one): 0.00 eV/f.u.
Energy: -6.45 eV/atom
D(E_F): 11.39 states/eV per cell
Formation energy from the elements: -0.149 eV/atom



# 4
Here is a relaxed Nd5TmSn6 crystal from the Alexandria database. Energies are from PBE-GGA.

```
Nd5TmSn6
1.0
9.3491 -0.0079 0.0000
2.5636 5.3289 0.0000
1.2818 2.6644 7.2215
Sn Nd Tm
6 5 1
Direct
0.7432 0.7926 0.0000
0.2568 0.2074 0.0000
0.7584 0.0679 0.3264
0.7584 0.3943 0.6736
0.2416 0.9321 0.6736
0.2416 0.6057 0.3264
0.0000 0.3396 0.3207
0.5000 0.8268 0.3464
0.5000 0.1732 0.6536
0.0000 0.6604 0.6793
0.5000 0.5000 0.0000
0.0000 0.0000 0.0000
```

Energy: -5.00 eV/atom
D(E_F): 8.19 states/eV per cell
Formation energy from the elements: -0.636 eV/atom



# 5
Here is a relaxed KBa2La crystal from the Alexandria database. Energies are from PBE-GGA.

```
KBa2La
1.0
-1.7486 -6.5256 -4.7345
6.1046 -4.5779 -3.1358
-3.9941 2.9631 6.5821
Ba La K
2 1 1
Direct
0.2510 0.7510 0.5000
0.9870 0.9870 0.0000
0.7534 0.2534 0.5000
0.5086 0.5086 0.0000
```

Polymorph energy (0 for the lowest one): 0.47 eV/f.u.
Energy: -2.20 eV/atom
D(E_F): 6.13 states/eV per cell
Formation energy from the elements: 0.270 eV/atom



# 6
Here is a relaxed PdPbIO6 crystal from the Alexandria database. Energies are from PBE-GGA.

```
PdPbIO6
1.0
5.3494 -0.0662 -0.0254
2.6177 4.6664 0.0248
-0.0248 0.0424 5.3776
O Pd Pb I
6 1 1 1
Direct
0.6174 0.0223 0.3059
0.3651 0.6162 0.2971
0.3516 0.0371 0.7166
0.0370 0.3515 0.2834
0.6162 0.3652 0.7029
0.0222 0.6175 0.6941
0.6634 0.6635 0.5000
0.9974 0.9974 0.9999
0.3294 0.3294 0.5000
```

Energy: -4.98 eV/atom
D(E_F): 1.25 states/eV per cell
Raw formation energy: -509 meV per atom



# 7
Here is a relaxed TbPm2Pr6Dy3 crystal from the Alexandria database. Energies are from PBE-GGA.

```
TbPm2Pr6Dy3
1.0
-4.0078 -1.0607 4.7955
3.4047 -4.7768 -2.4030
8.8395 4.2153 6.9264
Pr Tb Dy Pm
6 1 3 2
Direct
0.0841 0.4169 0.2521
0.2487 0.2487 0.7475
0.4169 0.0841 0.2521
0.9159 0.5831 0.7479
0.7513 0.7513 0.2525
0.5831 0.9159 0.7479
0.0000 0.0000 0.0000
0.5000 0.5000 0.5000
0.1666 0.8334 0.5000
0.8334 0.1666 0.5000
0.6667 0.3333 0.0000
0.3333 0.6667 0.0000
```

Energy: -4.71 eV/atom
D(E_F): 14.91 states/eV per cell
Formation energy from the elements: 0.012 eV/atom



# 8
Here is a relaxed TbGa2Pd5 crystal from the Alexandria database. Energies are from PBE-GGA.

```
TbGa2Pd5
1.0
-2.5870 -0.5908 -2.7924
0.7945 -6.1162 -2.0991
-4.4272 -4.1744 2.3278
Pd Ga Tb
5 2 1
Direct
0.3608 0.4370 0.8413
0.3608 0.8413 0.4370
0.6392 0.5630 0.1587
0.6392 0.1587 0.5630
0.0000 0.5000 0.5000
0.2429 0.2571 0.2571
0.7571 0.7429 0.7429
0.0000 0.0000 0.0000
```

Energy: -5.27 eV/atom
D(E_F): 3.58 states/eV per cell
Formation energy from the elements: -0.686 eV/atom



# 9
Here is a relaxed K2Sn3Hg crystal from the Alexandria database. Energies are from PBE-GGA.

```
K2Sn3Hg
1.0
-2.3685 -2.6027 3.8401
1.7944 -6.3339 0.3462
3.2448 0.3716 5.7856
Hg K Sn
1 2 3
Direct
0.1659 0.4063 0.2619
0.4294 0.8143 0.3269
0.5716 0.1830 0.6737
0.8391 0.2438 0.0780
0.8438 0.5843 0.7281
0.1502 0.7683 0.9312
```

Energy: -2.65 eV/atom
D(E_F): 1.23 states/eV per cell
Formation energy from the elements: -0.237 eV/atom



# 10
Here is a relaxed Rb2LaNdS4 crystal from the Alexandria database. Energies are from PBE-GGA.

```
Rb2LaNdS4
1.0
-1.0842 1.5692 -3.8256
-1.2048 -6.8739 -2.4780
-6.9455 2.7571 3.0993
Rb S La Nd
2 4 1 1
Direct
0.0000 0.5000 0.5000
0.5000 0.0000 0.5000
0.5000 0.7640 0.8024
0.0000 0.7290 0.1971
0.0000 0.2710 0.8029
0.5000 0.2360 0.1976
0.0000 0.0000 0.0000
0.5000 0.5000 0.0000
```

Energy: -5.38 eV/atom
D(E_F): 0.00 states/eV per cell
Raw formation energy: -1861 meV per atom



# 11
Here is a relaxed AcLa2Nd2Sm crystal from the Alexandria database. Energies are from PBE-GGA.

```
AcLa2Nd2Sm
1.0
5.8973 0.0000 0.0000
0.0000 7.3706 0.0000
0.0000 0.0000 10.2151
Ac Sm La Nd
2 2 4 4
Direct
0.0000 0.0076 0.5001
0.0000 0.5076 0.4999
0.5000 0.2576 0.6680
0.5000 0.7576 0.3320
0.5000 0.0076 0.9998
0.0000 0.2575 0.1653
0.5000 0.5076 0.0002
0.0000 0.7575 0.8347
0.5000 0.2575 0.3302
0.0000 0.7578 0.1644
0.5000 0.7575 0.6698
0.0000 0.2578 0.8356
```

Energy: -4.66 eV/atom
D(E_F): 17.84 states/eV per cell
Formation energy from the elements: 0.043 eV/atom



# 12
Here is a relaxed PuPaTe2 crystal from the Alexandria database. Energies are from PBE-GGA.

```
PuPaTe2
1.0
3.7741 0.0000 0.0000
0.0000 3.7741 0.0000
0.0000 0.0000 7.5366
Pa Te Pu
1 2 1
Direct
0.5000 0.5000 0.0000
0.0000 0.0000 0.7573
0.0000 0.0000 0.2427
0.5000 0.5000 0.5000
```

Polymorph energy (0 for the lowest one): 0.00 eV/f.u.
Energy: -8.36 eV/atom
D(E_F): 10.38 states/eV per cell
Raw formation energy: -828 meV per atom



# 13
Here is a relaxed Li2La2Pb crystal from the Alexandria database. Energies are from PBE-GGA.

```
Li2La2Pb
1.0
-6.3995 -1.8851 -2.7243
0.4031 -6.3248 3.4296
-2.3160 2.0378 4.0304
Pb Li La
2 4 4
Direct
0.5000 0.5000 0.0000
0.0000 0.0000 0.0000
0.3662 0.8662 0.0000
0.1338 0.3662 0.0000
0.6338 0.1338 0.0000
0.8662 0.6338 0.0000
0.3260 0.1740 0.5000
0.1740 0.6740 0.5000
0.8260 0.3260 0.5000
0.6740 0.8260 0.5000
```

Polymorph energy (0 for the lowest one): 0.00 eV/f.u.
Energy: -3.73 eV/atom
D(E_F): 5.53 states/eV per cell
Formation energy from the elements: -0.254 eV/atom



# 14
Here is a relaxed ScAlCu2 crystal from the Alexandria database. Energies are from PBE-GGA.

```
ScAlCu2
1.0
8.6213 -0.0174 -0.0102
8.1126 2.9175 -0.0102
8.1126 1.4060 2.5564
Sc Cu Al
1 2 1
Direct
0.5043 0.5043 0.5043
0.2573 0.2573 0.2573
0.9982 0.9982 0.9982
0.7402 0.7402 0.7402
```

Energy: -4.53 eV/atom
D(E_F): 2.28 states/eV per cell
Formation energy from the elements: 0.034 eV/atom



# 15
Here is a relaxed CrCu2 crystal from the Alexandria database. Energies are from PBE-GGA.

```
CrCu2
1.0
4.9734 0.0000 0.0000
-2.4867 4.3071 0.0000
0.0000 0.0000 7.0439
Cr Cu
4 8
Direct
0.3333 0.6667 0.3939
0.6667 0.3333 0.6061
0.3333 0.6667 0.1061
0.6667 0.3333 0.8939
0.3515 0.1757 0.2500
0.0000 0.0000 0.5000
0.6485 0.8243 0.7500
0.1757 0.8243 0.7500
0.0000 0.0000 0.0000
0.1757 0.3515 0.7500
0.8243 0.6485 0.2500
0.8243 0.1757 0.2500
```

Energy: -5.51 eV/atom
D(E_F): 12.80 states/eV per cell
Formation energy from the elements: 0.425 eV/atom



# 16
Here is a relaxed BaTaMn2 crystal from the Alexandria database. Energies are from PBE-GGA.

```
BaTaMn2
1.0
3.9886 0.0000 0.0000
0.0000 3.4913 0.0458
0.0000 1.6692 6.7758
Mn Ta Ba
2 1 1
Direct
0.5000 0.0403 0.2929
0.0000 0.1491 0.0768
0.0000 0.5162 0.3414
0.5000 0.7944 0.7888
```

Polymorph energy (0 for the lowest one): 0.45 eV/f.u.
Energy: -7.35 eV/atom
D(E_F): 4.09 states/eV per cell
Formation energy from the elements: 0.678 eV/atom



# 17
Here is a relaxed SrFeCl crystal from the Alexandria database. Energies are from PBE-GGA.

```
SrFeCl
1.0
-0.4727 0.0894 5.1619
-3.6132 -2.9027 2.3227
1.4007 -4.1300 2.8031
Sr Cl Fe
1 1 1
Direct
0.7500 0.7500 0.7500
0.0000 0.0000 0.0000
0.5000 0.5000 0.5000
```

Energy: -3.90 eV/atom
D(E_F): 9.41 states/eV per cell
Raw formation energy: 95 meV per atom



# 18
Here is a relaxed Mg2PtBr crystal from the Alexandria database. Energies are from PBE-GGA.

```
Mg2PtBr
1.0
0.0000 3.4018 3.4018
3.4018 0.0000 3.4018
3.4018 3.4018 0.0000
Mg Pt Br
2 1 1
Direct
0.7500 0.7500 0.7500
0.2500 0.2500 0.2500
0.5000 0.5000 0.5000
0.0000 0.0000 0.0000
```

Polymorph energy (0 for the lowest one): 1.66 eV/f.u.
Energy: -3.12 eV/atom
D(E_F): 1.01 states/eV per cell
Raw formation energy: -393 meV per atom



# 19
Here is a relaxed MnB3Au crystal from the Alexandria database. Energies are from PBE-GGA.

```
MnB3Au
1.0
3.8624 0.0000 0.0000
0.0000 3.8624 0.0000
0.0000 0.0000 3.8624
B Mn Au
3 1 1
Direct
0.5000 0.0000 0.0000
0.0000 0.5000 0.0000
0.0000 0.0000 0.5000
0.0000 0.0000 0.0000
0.5000 0.5000 0.5000
```

Polymorph energy (0 for the lowest one): 0.00 eV/f.u.
Energy: -5.40 eV/atom
D(E_F): 2.27 states/eV per cell
Formation energy from the elements: 1.096 eV/atom



# 20
Here is a relaxed Rb2Hg2Pt crystal from the Alexandria database. Energies are from PBE-GGA.

```
Rb2Hg2Pt
1.0
-3.1439 -0.4421 -3.7519
-6.5471 -0.0903 2.2777
-3.2437 11.5373 -1.8607
Pt Hg Rb
2 4 4
Direct
0.4439 0.7943 0.3179
0.5561 0.2057 0.6821
0.3753 0.1078 0.1417
0.6247 0.8922 0.8583
0.0335 0.3313 0.6017
0.9665 0.6687 0.3983
0.8989 0.3075 0.8947
0.1011 0.6925 0.1053
0.6968 0.2295 0.3768
0.3031 0.7705 0.6232
```

Polymorph energy (0 for the lowest one): 0.00 eV/f.u.
Energy: -1.91 eV/atom
D(E_F): 2.63 states/eV per cell
Formation energy from the elements: -0.191 eV/atom



# 21
Here is a relaxed Fe6Ir12Os crystal from the Alexandria database. Energies are from PBE-GGA.

```
Fe6Ir12Os
1.0
6.6809 -0.1849 -0.2215
-1.1956 6.5756 -0.2215
-1.1956 -1.3930 6.4302
Ir Fe Os
12 6 1
Direct
0.4122 0.4123 0.8119
0.7417 0.2583 0.0000
0.7417 0.0000 0.2583
0.5878 0.5877 0.1881
0.0000 0.7417 0.2583
0.2583 0.0000 0.7417
0.8119 0.4122 0.4123
0.1881 0.5878 0.5877
0.5877 0.1881 0.5878
0.0000 0.2583 0.7417
0.4123 0.8119 0.4122
0.2583 0.7417 0.0000
0.1645 0.1645 0.4138
0.4138 0.1645 0.1645
0.5862 0.8355 0.8355
0.1645 0.4138 0.1645
0.8355 0.5862 0.8355
0.8355 0.8355 0.5862
0.0000 0.0000 0.0000
```

Energy: -8.66 eV/atom
D(E_F): 22.83 states/eV per cell
Formation energy from the elements: 0.204 eV/atom



# 22
Here is a relaxed Tc2HIrRu crystal from the Alexandria database. Energies are from PBE-GGA.

```
Tc2HIrRu
1.0
-3.3921 -0.7571 1.7814
1.4510 -3.3735 1.3293
1.2765 1.8098 3.1999
Ru Ir H Tc
1 1 1 2
Direct
0.0000 0.0000 0.5000
0.5000 0.5000 0.5000
0.0000 0.0000 0.0000
0.0000 0.5000 0.0000
0.5000 0.0000 0.0000
```

Polymorph energy (0 for the lowest one): 0.00 eV/f.u.
Energy: -8.48 eV/atom
D(E_F): 3.53 states/eV per cell



# 23
Here is a relaxed CrTc2Ni crystal from the Alexandria database. Energies are from PBE-GGA.

```
CrTc2Ni
1.0
4.5494 -0.0035 -0.0019
1.4719 4.3047 0.0019
-3.0098 -2.1518 2.6472
Tc Cr Ni
2 1 1
Direct
0.7500 0.2500 0.5000
0.0000 0.0000 0.0000
0.5000 0.5000 0.0000
0.2500 0.7500 0.5000
```

Polymorph energy (0 for the lowest one): 0.06 eV/f.u.
Energy: -9.00 eV/atom
D(E_F): 3.26 states/eV per cell
Formation energy from the elements: 0.035 eV/atom



# 24
Here is a relaxed Hf4NpN6 crystal from the Alexandria database. Energies are from PBE-GGA.

```
Hf4NpN6
1.0
3.1920 0.0000 0.0000
-1.5960 5.3274 0.0000
0.0000 0.0000 16.0655
N Hf Np
12 8 2
Direct
0.0356 0.0712 0.3385
0.9644 0.9288 0.6615
0.7700 0.5400 0.4157
0.6913 0.3826 0.7500
0.5000 0.0000 0.5000
0.2300 0.4600 0.9157
0.2300 0.4600 0.5843
0.0356 0.0712 0.1615
0.9644 0.9288 0.8385
0.7700 0.5400 0.0843
0.3087 0.6174 0.2500
0.5000 0.0000 0.0000
0.8657 0.7314 0.9529
0.1343 0.2686 0.0471
0.6001 0.2001 0.8653
0.3999 0.7999 0.3653
0.8657 0.7314 0.5471
0.6001 0.2001 0.6347
0.1343 0.2686 0.4529
0.3999 0.7999 0.1347
0.6564 0.3127 0.2500
0.3436 0.6873 0.7500
```

Energy: -10.96 eV/atom
D(E_F): 15.84 states/eV per cell
Raw formation energy: -1626 meV per atom



# 25
Here is a relaxed TlPb crystal from the Alexandria database. Energies are from PBE-GGA.

```
TlPb
1.0
3.5095 0.0000 0.0000
-1.7547 3.0393 0.0000
0.0000 0.0000 11.8279
Tl Pb
2 2
Direct
0.6667 0.3333 0.7523
0.0000 0.0000 0.4978
0.6667 0.3333 0.2473
0.0000 0.0000 0.0028
```

Energy: -3.02 eV/atom
D(E_F): 3.04 states/eV per cell
Formation energy from the elements: 0.019 eV/atom